Below is a geometry-optimized Na5Sb3Au3 structure, with properties calculated at the GGA-PBE level.

```
Na5Sb3Au3
1.0
4.7631 0.0000 0.0000
0.0000 9.7319 0.0000
0.0000 -4.8660 8.4281
Na Au Sb
5 3 3
Cartesian
2.3816 -3.6575 6.3349
2.3816 0.0000 5.6187
2.3816 7.3149 0.0000
2.3816 4.8660 2.8094
2.3816 1.2085 2.0932
0.0000 3.6232 6.2755
0.0000 -1.2428 2.1526
0.0000 2.4856 0.0000
2.3816 -1.8028 3.1225
2.3816 3.0632 5.3056
2.3816 3.6056 0.0000
```

Formation energy without anion corrections ... -0.24 eV per atom
Theoretical density ... 4.6 g/cm³

***

Below is a geometry-optimized CeDy6Tm2 structure, with properties calculated at the GGA-PBE level.

```
CeDy6Tm2
1.0
7.2318 0.0000 0.0000
3.6159 6.2629 0.0000
3.6159 2.0876 6.2836
Dy Tm Ce
6 2 1
Cartesian
9.0970 3.0983 4.4180
5.3666 3.0986 4.4180
3.6157 4.4038 1.7929
5.6218 0.9297 1.7929
7.2320 6.3290 4.4180
1.6102 0.9294 1.7929
7.2318 4.1753 1.6503
10.8477 6.2629 4.5891
3.6159 2.0877 0.2805
```

Offset from the most stable computed form ... 0.219 eV/atom
Theoretical density ... 8.5 g/cm³
Energy relative to the elements ... 29.7 kJ/mol of atoms

***

Which of these has the highest theoretical density?
CeDy6Tm2